Compound: SbMoO2
Source: Alexandria via LeMat-Bulk
Functional: meta-GGA SCAN
Structure: single point on PBEsol structure

POSCAR file:
```
SbMoO2
1.0
5.980 0.000 0.000
0.000 5.980 0.000
0.000 0.000 8.474
Sb Mo O
4 4 8
Cartesian
0.000 1.495 3.178
0.000 4.485 5.296
2.990 1.495 1.059
2.990 4.485 7.415
0.000 1.495 7.415
0.000 4.485 1.059
2.990 1.495 5.296
2.990 4.485 3.178
0.000 0.000 0.000
0.000 2.990 0.000
1.495 1.495 6.356
1.495 4.485 2.119
2.990 0.000 4.237
2.990 2.990 4.237
4.485 1.495 6.356
4.485 4.485 2.119
```

=====

Compound: SmSbMo2O9
Source: Alexandria via LeMat-Bulk
Functional: meta-GGA SCAN
Structure: single point on PBEsol structure

POSCAR file:
```
SmSbMo2O9
1.0
6.488 -7.128 0.000
6.488 7.128 0.000
-6.042 0.000 8.946
Sm Sb Mo O
4 4 8 36
Cartesian
1.957 5.351 6.709
4.977 2.461 2.236
1.957 -2.461 6.709
4.977 -5.351 2.236
1.923 0.237 4.142
-1.098 -0.237 8.615
8.032 0.237 0.331
5.011 -0.237 4.804
1.834 1.505 0.263
-1.007 2.697 6.232
-1.187 -1.505 4.736
2.014 -2.697 1.760
4.920 2.697 7.186
8.121 1.505 4.210
7.941 -2.697 2.713
5.100 -1.505 8.682
1.689 4.779 4.404
0.730 1.234 1.617
-4.414 0.214 8.071
2.674 3.284 2.184
-1.393 -0.214 3.598
5.022 4.113 0.556
0.559 3.405 6.477
-1.080 1.142 7.155
3.596 1.293 0.669
-2.291 -1.234 6.090
4.933 4.113 3.916
8.266 4.779 0.069
1.941 -1.142 2.682
3.355 3.405 6.941
0.575 -1.293 5.142
3.834 0.822 3.564
7.281 3.284 2.289
6.121 0.822 0.909
0.813 -0.822 8.037
-0.346 -3.284 6.656
3.100 -0.822 5.381
6.359 1.293 3.803
3.579 -3.405 2.005
4.993 1.142 6.263
-1.332 -4.779 8.877
2.001 -4.113 5.029
9.225 1.234 2.855
3.338 -1.293 8.276
8.014 -1.142 1.790
6.376 -3.405 2.468
1.912 -4.113 8.389
8.327 0.214 5.348
4.260 -3.284 6.762
11.348 -0.214 0.875
6.204 -1.234 7.328
5.245 -4.779 4.542
```

=====

Compound: TbSbMo2O9
Source: Alexandria via LeMat-Bulk
Functional: meta-GGA SCAN
Structure: single point on PBEsol structure

POSCAR file:
```
TbSbMo2O9
1.0
6.438 -7.042 0.000
6.438 7.042 0.000
-6.001 0.000 8.856
Tb Sb Mo O
4 4 8 36
Cartesian
1.937 5.277 6.642
4.938 2.411 2.214
1.937 -2.411 6.642
4.938 -5.277 2.214
1.894 0.260 4.111
-1.107 -0.260 8.539
7.982 0.260 0.318
4.981 -0.260 4.746
1.816 1.496 0.253
-1.007 2.669 6.160
-1.185 -1.496 4.682
1.993 -2.669 1.732
4.882 2.669 7.124
8.060 1.496 4.175
7.882 -2.669 2.696
5.059 -1.496 8.603
1.668 4.705 4.393
0.685 1.230 1.587
-4.367 0.196 7.978
2.663 3.221 2.168
-1.366 -0.196 3.549
4.976 4.040 0.581
0.561 3.359 6.434
-1.106 1.108 7.066
3.573 1.276 0.679
-2.316 -1.230 6.015
4.899 4.040 3.847
8.208 4.705 0.035
1.894 -1.108 2.638
3.314 3.359 6.850
0.573 -1.276 5.107
3.807 0.821 3.520
7.212 3.221 2.260
6.068 0.821 0.908
0.807 -0.821 7.949
-0.337 -3.221 6.596
3.068 -0.821 5.336
6.303 1.276 3.749
3.561 -3.359 2.006
4.981 1.108 6.219
-1.333 -4.705 8.821
1.976 -4.040 5.009
9.191 1.230 2.841
3.302 -1.276 8.177
7.981 -1.108 1.790
6.314 -3.359 2.422
1.899 -4.040 8.275
8.241 0.196 5.307
4.212 -3.221 6.688
11.242 -0.196 0.879
6.190 -1.230 7.269
5.207 -4.705 4.464
```

=====

Compound: YSbMo2O9
Source: Alexandria via LeMat-Bulk
Functional: meta-GGA SCAN
Structure: single point on PBEsol structure

POSCAR file:
```
YSbMo2O9
1.0
6.429 -7.024 0.000
6.429 7.024 0.000
-5.985 0.000 8.832
Y Sb Mo O
4 4 8 36
Cartesian
1.941 5.260 6.624
4.933 2.402 2.208
1.941 -2.402 6.624
4.933 -5.260 2.208
1.893 0.266 4.104
-1.099 -0.266 8.520
7.974 0.266 0.312
4.981 -0.266 4.728
1.812 1.497 0.252
-0.998 2.659 6.142
-1.180 -1.497 4.669
1.994 -2.659 1.726
4.880 2.659 7.106
8.054 1.497 4.164
7.872 -2.659 2.690
5.062 -1.497 8.580
1.662 4.690 4.389
0.675 1.234 1.582
-4.351 0.194 7.956
2.659 3.211 2.161
-1.359 -0.194 3.540
4.969 4.024 0.588
0.571 3.340 6.428
-1.108 1.094 7.040
3.569 1.273 0.681
-2.317 -1.234 5.998
4.897 4.024 3.828
8.205 4.690 0.027
1.885 -1.094 2.624
3.311 3.340 6.820
0.577 -1.273 5.097
3.807 0.823 3.511
7.208 3.211 2.256
6.059 0.823 0.905
0.815 -0.823 7.927
-0.334 -3.211 6.577
3.067 -0.823 5.322
6.297 1.273 3.736
3.564 -3.340 2.012
4.990 1.094 6.209
-1.330 -4.690 8.806
1.977 -4.024 5.004
9.192 1.234 2.835
3.305 -1.273 8.152
7.982 -1.094 1.793
6.303 -3.340 2.404
1.905 -4.024 8.244
8.233 0.194 5.293
4.216 -3.211 6.672
11.225 -0.194 0.877
6.199 -1.234 7.251
5.212 -4.690 4.443
```

=====

Compound: MoSeO3
Source: Alexandria via LeMat-Bulk
Functional: meta-GGA SCAN
Structure: single point on PBEsol structure

POSCAR file:
```
MoSeO3
1.0
3.911 0.000 0.000
0.000 3.911 0.000
0.000 0.000 3.911
Mo Se O
1 1 3
Cartesian
0.000 0.000 0.000
1.956 1.956 1.956
0.000 0.000 1.956
0.000 1.956 0.000
1.956 0.000 0.000
```

=====

Compound: SrMo2Se2O11
Source: Alexandria via LeMat-Bulk
Functional: meta-GGA SCAN
Structure: single point on PBEsol structure

POSCAR file:
```
SrMo2Se2O11
1.0
7.854 0.000 0.000
3.207 7.466 0.000
3.541 -0.427 8.051
Sr Mo Se O
2 4 4 22
Cartesian
2.980 1.474 3.838
11.623 5.565 4.213
5.009 7.205 0.412
5.822 2.466 6.508
8.780 4.574 1.543
9.594 -0.166 7.640
4.308 4.042 1.180
6.977 5.460 5.539
7.626 1.579 2.512
10.295 2.998 6.872
2.670 3.863 0.514
6.807 6.391 7.037
4.165 5.746 1.581
5.615 4.395 5.774
4.119 3.456 2.736
6.260 6.466 4.412
5.635 0.873 7.457
2.846 0.170 1.695
5.212 1.854 5.023
7.519 2.602 6.317
9.362 5.599 7.525
5.241 1.441 0.527
7.084 4.438 1.734
9.391 5.185 3.029
11.757 6.870 6.356
8.968 6.166 0.594
8.343 0.574 3.639
10.484 3.584 5.316
8.988 2.644 2.277
10.438 1.294 6.471
7.796 0.649 1.015
11.932 3.176 7.538
```

=====

Number 1: density 5.473 g/cm³, E_form (uncorrected) -862 meV/atom. Number 2: density 4.881 g/cm³, E_form (uncorrected) -2396 meV/atom. Number 3: density 5.100 g/cm³, E_form (uncorrected) -2401 meV/atom. Number 4: density 4.550 g/cm³, E_form (uncorrected) -2407 meV/atom. Number 5: density 6.187 g/cm³, E_form (uncorrected) -916 meV/atom. Number 6: density 4.315 g/cm³, E_form (uncorrected) -1873 meV/atom.